LuZrRh2: optimized geometry, PBE-GGA.

The calculation puts the density of states at the Fermi level at 2.6 states/eV/cell. Its total energy is -7.840 eV/atom. As for the total magnetic moment: 0.000 μB/f.u.

The structure belongs to space group P4/mmm (No. 123); the cell edges are 3.3093, 3.3093 and 6.7640 Å and the angles 90.00°, 90.00° and 90.00°. The asymmetric unit holds Lu at (0.0000, 0.0000, 0.0000), Zr at (0.0000, 0.0000, 0.5000) and Rh at (0.5000, 0.5000, 0.2630).